ReRuI2 | Alexandria | PBE | optimized geometry; energy = -4.850 eV per atom; energy above the lowest structure with this stoichiometry = 0 meV per atom; formation energy from raw total energies = 130.85 kJ per mole of atoms
1.0
5.970 0.000 0.000
0.000 5.970 0.000
0.000 0.000 11.819
Re Ru I
4 4 8
Direct
0.000 0.000 0.000
0.000 0.500 0.250
0.500 0.000 0.750
0.500 0.500 0.500
0.000 0.000 0.500
0.000 0.500 0.750
0.500 0.000 0.250
0.500 0.500 0.000
0.249 0.250 0.625
0.250 0.749 0.875
0.250 0.751 0.375
0.251 0.250 0.125
0.749 0.750 0.125
0.750 0.249 0.375
0.750 0.251 0.875
0.751 0.750 0.625